Entry from Alexandria: a relaxed BaFeF2 crystal (PBE+U).

Lattice parameters (Å, degrees): 6.6139 6.6139 6.6139 38.24 38.24 38.24
Closest atoms and distances in Å follow each position.
Fractional positions:
Fe1 0.0000 0.0000 0.0000  2 F 2.17
F1 0.1180 0.1180 0.1180  1 Fe 2.17
F2 0.8820 0.8820 0.8820  1 Fe 2.17
Ba1 0.5000 0.5000 0.5000  6 F 2.66

Properties
Its calculated total energy is -19.379 eV/cell. The value obtained for the volume is 99.5 Å³/cell. The polymorph energy (0 for the lowest one) is 0 meV per atom.